# 1
CsHfTe3Au | PBE-GGA | relaxed

Structure (extended XYZ):
```
24
Lattice="9.899 0.000 0.000 0.000 4.293 0.000 0.000 0.000 18.541" Properties=species:S:1:pos:R:3 pbc="T T T"
Au 0.298 3.220 15.126
Au 4.652 1.073 5.856
Au 5.248 3.220 12.685
Au 9.601 1.073 3.415
Cs 0.858 3.220 6.421
Cs 9.042 1.073 12.119
Cs 4.092 1.073 15.691
Cs 5.807 3.220 2.849
Hf 8.139 3.220 17.277
Hf 1.760 1.073 1.264
Hf 6.710 1.073 8.006
Hf 3.189 3.220 10.534
Te 7.257 3.220 14.648
Te 6.624 1.073 18.356
Te 5.335 1.073 10.799
Te 0.385 1.073 17.012
Te 8.225 3.220 9.086
Te 3.275 3.220 0.185
Te 9.514 3.220 1.528
Te 1.674 1.073 9.455
Te 2.643 1.073 3.893
Te 7.592 1.073 5.378
Te 4.565 3.220 7.742
Te 2.307 3.220 13.163
```

Calculated values
SG = No. 62
V = 197.0 Å³/f.u.

# 2
Nd2NCl3 | PBE-GGA | relaxed

Structure (extended XYZ):
```
24
Lattice="-4.658 12.672 -1.128 -0.857 0.291 6.810 5.806 2.191 0.637" Properties=species:S:1:pos:R:3 pbc="T T T"
N 1.603 8.123 3.271
N -1.312 7.031 3.049
N 3.504 1.932 7.240
N 1.445 0.550 0.208
Nd 1.727 2.491 5.825
Nd 0.687 6.341 2.064
Nd -4.895 11.757 4.595
Nd 3.289 7.539 4.774
Nd -0.396 8.813 4.256
Nd -1.436 12.664 0.495
Nd 5.186 3.397 1.724
Nd -2.998 7.615 1.546
Cl 1.497 12.011 0.715
Cl 2.023 7.980 -0.070
Cl 1.025 0.693 3.548
Cl 1.412 11.224 4.203
Cl 2.296 4.035 1.156
Cl -1.121 3.931 2.116
Cl -1.206 3.143 5.605
Cl -2.005 11.119 5.163
Cl 1.525 5.113 4.479
Cl -1.732 7.174 6.389
Cl 3.924 1.790 3.899
Cl -1.234 10.041 1.841
```

Calculated values
SG = No. 60
V = 145.2 Å³/f.u.

# 3
Nb2ReGe2 | PBE-GGA | relaxed

Structure (extended XYZ):
```
5
Lattice="-1.703 1.703 7.419 1.703 -1.703 7.419 1.703 1.703 -7.419" Properties=species:S:1:pos:R:3 pbc="T T T"
Ge 1.703 0.000 3.709
Ge 0.000 1.703 3.709
Re 0.000 0.000 0.000
Nb 0.000 0.000 5.891
Nb 0.000 0.000 8.947
```

Calculated values
SG = No. 139
V = 86.1 Å³/f.u.

# 4
KNa4Cd2In | PBE-GGA | relaxed

Structure (extended XYZ):
```
8
Lattice="5.388 0.000 0.000 0.000 5.388 0.000 0.000 0.000 7.838" Properties=species:S:1:pos:R:3 pbc="T T T"
K 0.000 0.000 3.919
Na 2.694 2.694 3.919
Na 2.694 0.000 6.114
Na 0.000 2.694 1.724
Na 0.000 0.000 0.000
Cd 0.000 2.694 6.145
Cd 2.694 0.000 1.694
In 2.694 2.694 0.000
```

Calculated values
SG = No. 115
V = 227.6 Å³/f.u.

# 5
Be2InMo | PBE-GGA | relaxed

Structure (extended XYZ):
```
4
Lattice="0.000 3.068 3.068 3.068 0.000 3.068 3.068 3.068 0.000" Properties=species:S:1:pos:R:3 pbc="T T T"
Be 4.601 4.601 4.601
Be 0.000 0.000 0.000
Mo 1.534 1.534 1.534
In 3.068 3.068 3.068
```

Calculated values
SG = No. 216
V = 57.7 Å³/f.u.

# 6
TaSnHg | PBE-GGA | relaxed

Structure (extended XYZ):
```
3
Lattice="2.960 -1.423 3.404 -1.698 -2.089 3.889 0.735 -4.617 0.717" Properties=species:S:1:pos:R:3 pbc="T T T"
Ta 0.000 0.000 0.000
Sn 1.498 -6.096 6.008
Hg 0.499 -2.032 2.003
```

Calculated values
SG = No. 216
V = 74.8 Å³/f.u.

# 7
LiSiPd3 | PBE-GGA | relaxed

Structure (extended XYZ):
```
20
Lattice="8.220 0.000 0.000 0.000 4.760 0.000 -4.957 0.000 7.562" Properties=species:S:1:pos:R:3 pbc="T T T"
Pd -0.084 2.372 6.400
Pd 6.243 2.959 1.406
Pd -2.979 1.801 6.155
Pd 0.725 3.571 0.474
Pd 3.764 4.181 5.187
Pd 2.538 1.189 7.088
Pd 2.394 0.008 2.619
Pd 5.017 1.191 3.307
Pd -0.501 0.579 2.374
Pd -1.753 3.569 4.254
Pd 0.869 4.752 4.943
Pd 3.348 2.388 1.162
Si 1.955 3.571 6.706
Si 1.308 1.189 0.855
Si -1.170 1.191 4.636
Si 4.434 3.569 2.925
Li 0.561 2.843 3.063
Li 2.703 1.917 4.498
Li -1.918 4.297 6.844
Li 5.181 0.463 0.717
```

Calculated values
SG = No. 14
V = 74.0 Å³/f.u.

# 8
TaOsAu | PBE-GGA | relaxed

Structure (extended XYZ):
```
3
Lattice="0.000 3.077 3.077 3.077 0.000 3.077 3.077 3.077 0.000" Properties=species:S:1:pos:R:3 pbc="T T T"
Os 4.616 4.616 4.616
Au 1.539 1.539 1.539
Ta 0.000 0.000 0.000
```

Calculated values
SG = No. 216
ΔE_f = 0.411 eV/atom
V = 58.3 Å³/f.u.

# 9
BaNaTl4Pt2 | PBE-GGA | relaxed

Structure (extended XYZ):
```
8
Lattice="-1.810 8.164 1.488 3.460 -0.135 4.950 5.805 1.050 1.302" Properties=species:S:1:pos:R:3 pbc="T T T"
Na 4.341 4.600 4.284
Tl 6.648 6.409 6.355
Tl 0.952 1.871 1.220
Tl -0.086 6.557 2.074
Tl 7.335 3.313 5.791
Ba 4.035 0.398 2.723
Pt 1.724 4.341 2.518
Pt 6.684 0.660 4.511
```

Calculated values
SG = No. 38
V = 214.1 Å³/f.u.

# 10
LaTmSi2Mo2C | PBE-GGA | relaxed

Structure (extended XYZ):
```
7
Lattice="5.616 -1.941 0.000 5.616 1.941 0.000 -4.281 0.000 5.889" Properties=species:S:1:pos:R:3 pbc="T T T"
La 5.196 0.000 1.783
Tm 1.774 0.000 4.176
C 6.966 0.000 5.795
Si 8.319 0.000 1.965
Si -1.393 0.000 3.969
Mo 1.955 0.000 0.469
Mo 4.986 0.000 5.399
```

Calculated values
SG = No. 8
V = 128.4 Å³/f.u.

# 11
LuZrTlTe3 | PBE-GGA | relaxed

Structure (extended XYZ):
```
12
Lattice="5.257 5.376 2.591 -7.367 -1.881 -2.333 -2.836 -2.524 10.991" Properties=species:S:1:pos:R:3 pbc="T T T"
Te -4.213 -0.495 4.684
Te -2.028 0.314 11.584
Te -2.918 0.657 -0.335
Te -0.733 1.466 6.566
Te -7.345 -2.092 0.700
Te 2.399 3.063 10.549
Zr -2.222 0.406 8.747
Zr -2.724 0.564 2.502
Lu -1.418 -1.262 5.495
Lu 0.000 0.000 0.000
Tl -6.478 -2.040 7.087
Tl 1.532 3.011 4.162
```

Calculated values
SG = No. 63
V = 182.8 Å³/f.u.

# 12
Hf4Nb2Bi3N3 | PBE-GGA | relaxed

Structure (extended XYZ):
```
24
Lattice="-5.094 -1.411 2.846 -3.177 -4.799 -1.707 9.656 -5.616 8.244" Properties=species:S:1:pos:R:3 pbc="T T T"
N 3.239 -5.208 3.269
N -5.394 -2.763 1.890
N 6.778 -9.063 7.493
N -2.547 -0.705 1.423
N 0.927 -4.446 5.802
N 0.458 -7.381 3.581
Hf -3.498 -7.566 4.910
Hf 7.136 -6.840 7.496
Hf 1.696 -11.021 8.163
Hf -0.632 -8.308 5.318
Hf -0.312 -0.806 1.220
Hf 4.882 -4.261 4.473
Hf -5.751 -4.986 1.887
Hf 2.017 -3.518 4.065
Bi -0.226 -3.748 2.066
Bi -2.912 -5.810 2.469
Bi -2.512 -3.113 4.507
Bi 3.896 -8.714 4.876
Bi 4.297 -6.016 6.914
Bi 1.610 -8.078 7.317
Nb -0.593 -5.541 4.483
Nb 1.978 -6.285 4.900
Nb -3.147 -2.953 1.482
Nb 4.532 -8.873 7.901
```

Calculated values
SG = No. 15
V = 209.7 Å³/f.u.

# 13
Lu4CuN3 | PBE-GGA | relaxed

Structure (extended XYZ):
```
16
Lattice="3.351 0.000 0.000 -1.675 2.902 0.000 0.000 0.000 24.861" Properties=species:S:1:pos:R:3 pbc="T T T"
Cu 1.675 0.967 18.646
Cu 0.000 1.935 6.215
Lu 1.675 0.967 23.515
Lu 0.000 0.000 8.361
Lu 0.000 0.000 4.069
Lu 0.000 1.935 11.084
Lu 1.675 0.967 13.776
Lu 0.000 0.000 16.499
Lu 0.000 1.935 1.346
Lu 0.000 0.000 20.792
N 0.000 1.935 15.200
N 1.675 0.967 9.660
N 0.000 1.935 22.091
N 1.675 0.967 2.770
N 0.000 0.000 0.000
N 0.000 0.000 12.430
```

Calculated values
SG = No. 194
V = 120.9 Å³/f.u.

# 14
PrErCuS3 | PBE-GGA | relaxed

Structure (extended XYZ):
```
12
Lattice="1.911 -6.426 0.000 1.911 6.426 0.000 0.000 0.000 10.045" Properties=species:S:1:pos:R:3 pbc="T T T"
S 1.911 4.620 9.330
S 1.911 4.620 5.737
S 1.911 -4.620 4.308
S 1.911 -4.620 0.715
S 1.911 -1.084 2.511
S 1.911 1.084 7.534
Er 1.911 0.000 0.000
Er 1.911 0.000 5.022
Cu 1.911 -6.111 2.511
Cu 1.911 6.111 7.534
Pr 1.911 -3.074 7.534
Pr 1.911 3.074 2.511
```

Calculated values
SG = No. 63
V = 123.4 Å³/f.u.

# 15
CsLuAl | PBE-GGA | relaxed

Structure (extended XYZ):
```
3
Lattice="0.000 3.860 3.860 3.860 0.000 3.860 3.860 3.860 0.000" Properties=species:S:1:pos:R:3 pbc="T T T"
Al 1.930 1.930 1.930
Cs 0.000 0.000 0.000
Lu 5.790 5.790 5.790
```

Calculated values
SG = No. 216
V = 115.0 Å³/f.u.

# 16
CsHf3As5 | PBE-GGA | relaxed

Structure (extended XYZ):
```
9
Lattice="6.195 0.000 0.000 -3.098 5.365 0.000 0.000 0.000 6.569" Properties=species:S:1:pos:R:3 pbc="T T T"
Hf -1.549 2.683 3.284
Hf 1.549 2.683 3.284
Hf 3.097 0.000 3.284
As 3.097 1.788 5.279
As 0.000 3.577 5.279
As 0.000 3.577 1.289
As 3.097 1.788 1.289
As 0.000 0.000 3.284
Cs 0.000 0.000 0.000
```

Calculated values
SG = No. 191
V = 218.3 Å³/f.u.

# 17
UHgIr | PBE-GGA | relaxed

Structure (extended XYZ):
```
3
Lattice="-0.298 3.104 3.573 -3.949 2.556 0.597 -2.863 -0.883 3.676" Properties=species:S:1:pos:R:3 pbc="T T T"
U 0.000 0.000 0.000
Ir -5.332 3.583 5.885
Hg -1.777 1.194 1.962
```

Calculated values
SG = No. 216
ΔE_f = 0.506 eV/atom
V = 75.4 Å³/f.u.

# 18
AgBIr6 | PBE-GGA | relaxed

Structure (extended XYZ):
```
8
Lattice="0.000 4.286 4.286 4.286 0.000 4.286 4.286 4.286 0.000" Properties=species:S:1:pos:R:3 pbc="T T T"
Ir 8.220 6.429 6.429
Ir 6.429 8.220 6.429
Ir 4.638 6.429 6.429
Ir 6.429 4.638 6.429
Ir 6.429 6.429 4.638
Ir 6.429 6.429 8.220
B 0.000 0.000 0.000
Ag 2.143 2.143 2.143
```

Calculated values
SG = No. 216
V = 157.5 Å³/f.u.

# 19
Lu3Fe2Si3 | PBE-GGA | relaxed

Structure (extended XYZ):
```
16
Lattice="-1.294 5.065 1.686 0.073 -2.754 -4.752 -12.569 -3.898 2.065" Properties=species:S:1:pos:R:3 pbc="T T T"
Lu -2.596 4.005 1.405
Lu -7.731 -4.518 -2.975
Lu -6.059 2.931 1.974
Lu -11.194 -5.591 -2.406
Lu -9.849 -2.841 -0.868
Lu -3.940 1.254 -0.133
Si -1.272 1.951 -0.670
Si -7.225 -1.896 -1.201
Si -10.272 -0.426 1.120
Si -3.518 -1.161 -2.122
Si -12.517 -3.537 -0.331
Si -6.564 0.310 0.199
Fe -12.545 -0.187 2.205
Fe -5.478 -2.712 -2.511
Fe -8.311 1.126 1.510
Fe -1.244 -1.400 -3.206
```

Calculated values
SG = No. 63
V = 137.1 Å³/f.u.

# 20
DyTmC2Br2 | PBE-GGA | relaxed

Structure (extended XYZ):
```
6
Lattice="3.495 -1.874 0.000 3.495 1.874 0.000 -0.916 0.000 10.879" Properties=species:S:1:pos:R:3 pbc="T T T"
C 2.478 0.000 5.784
C 3.592 0.000 5.038
Dy 0.430 0.000 6.873
Br 1.068 0.000 2.160
Br 5.017 0.000 8.768
Tm 5.637 0.000 4.015
```

Calculated values
SG = No. 8
V = 142.5 Å³/f.u.

# 21
Li4Zn2O5 | PBE-GGA | relaxed

Structure (extended XYZ):
```
11
Lattice="0.000 0.000 4.054 6.184 2.024 0.000 0.000 4.048 0.000" Properties=species:S:1:pos:R:3 pbc="T T T"
O 0.000 0.000 2.027
O 4.120 4.048 2.027
O 4.272 2.024 0.000
O 2.064 2.024 2.027
O 1.912 4.048 0.000
Li 2.285 2.024 0.000
Li 0.000 2.024 2.027
Li 3.899 4.048 0.000
Li 0.000 0.000 0.000
Zn 4.180 2.024 2.027
Zn 2.004 4.048 2.027
```

Calculated values
SG = No. 65
V = 101.5 Å³/f.u.

E_tot: -4.58; -5.99; -8.22; -1.39; -4.54; -4.71; -5.20; -8.37; -3.42; -7.84; -4.92; -8.78; -7.21; -5.81; -1.78; -6.51; -6.31; -6.00; -6.52; -6.22; -4.59 (eV/atom)